{"formula": "LiP2Os", "functional": "PBE", "state": "relaxed", "lattice_angstrom": [[1.439, -2.288, 0.000], [1.439, 2.288, 0.000], [0.000, 0.000, 9.203]], "species": ["Li", "P", "P", "Os"], "frac_coords": [[0.000, 0.000, 0.000], [0.000, 0.000, 0.456], [0.500, 0.500, 0.775], [0.500, 0.500, 0.253]], "space_group": "Cmm2", "dos_ef_per_ev_cell": 2.2, "ef_ev_per_atom": 0.326, "volume_a3_per_atom": 15.1, "e_above_lowest_polymorph_ev_per_atom": 0.5676}

***

{"formula": "Rb2BaU2O7", "functional": "PBE", "state": "relaxed", "lattice_angstrom": [[-2.204, 2.204, 11.547], [2.204, -2.204, 11.547], [2.204, 2.204, -11.547]], "species": ["Rb", "Rb", "Ba", "U", "U", "O", "O", "O", "O", "O", "O", "O"], "frac_coords": [[0.193, 0.193, 0.000], [0.807, 0.807, 0.000], [0.000, 0.000, 0.000], [0.405, 0.405, 0.000], [0.595, 0.595, 0.000], [0.087, 0.587, 0.500], [0.318, 0.318, 0.000], [0.413, 0.913, 0.500], [0.500, 0.500, 0.000], [0.587, 0.087, 0.500], [0.682, 0.682, 0.000], [0.913, 0.413, 0.500]], "space_group": "I4/mmm", "dos_ef_per_ev_cell": 0.8, "volume_a3_per_atom": 18.7, "e_form_raw_ev_per_atom": -2.8821}

***

{"formula": "Sr2ZrUP4", "functional": "PBE", "state": "relaxed", "lattice_angstrom": [[6.932, 0.000, 0.000], [0.000, 4.026, 0.000], [-2.301, 0.000, 6.906]], "species": ["Sr", "Sr", "Zr", "U", "P", "P", "P", "P"], "frac_coords": [[0.000, 0.000, 0.000], [0.500, 0.500, 0.000], [0.000, 0.500, 0.500], [0.500, 0.000, 0.500], [0.235, 0.000, 0.711], [0.258, 0.500, 0.289], [0.742, 0.500, 0.711], [0.765, 0.000, 0.289]], "space_group": "P2/m", "dos_ef_per_ev_cell": 7.2, "ef_ev_per_atom": -1.125, "volume_a3_per_atom": 24.1}

***

{"formula": "BeCr3Pt", "functional": "PBE", "state": "relaxed", "lattice_angstrom": [[4.834, 0.000, 0.000], [0.000, 4.834, 0.000], [0.000, 0.000, 4.834]], "species": ["Be", "Cr", "Cr", "Cr", "Pt"], "frac_coords": [[0.000, 0.000, 0.000], [0.000, 0.500, 0.500], [0.500, 0.000, 0.500], [0.500, 0.500, 0.000], [0.500, 0.500, 0.500]], "space_group": "Pm-3m", "dos_ef_per_ev_cell": 8.6, "ef_ev_per_atom": 1.511, "volume_a3_per_atom": 22.6, "e_above_lowest_polymorph_ev_per_atom": 0.9330}

***

{"formula": "CrNiSe2", "functional": "PBE", "state": "relaxed", "lattice_angstrom": [[1.591, 0.919, 7.680], [-1.591, 0.919, 7.680], [0.000, -1.837, 7.680]], "species": ["Cr", "Ni", "Se", "Se"], "frac_coords": [[0.000, 0.000, 0.000], [0.500, 0.500, 0.500], [0.402, 0.402, 0.402], [0.598, 0.598, 0.598]], "space_group": "R-3m", "dos_ef_per_ev_cell": 4.9, "volume_a3_per_atom": 16.8, "e_above_lowest_polymorph_ev_per_atom": 0.3386, "e_form_raw_ev_per_atom": -0.0162}

***

{"formula": "Mg2NbCu", "functional": "PBE", "state": "relaxed", "lattice_angstrom": [[0.000, 3.273, 3.273], [3.273, 0.000, 3.273], [3.273, 3.273, 0.000]], "species": ["Mg", "Mg", "Nb", "Cu"], "frac_coords": [[0.250, 0.250, 0.250], [0.750, 0.750, 0.750], [0.000, 0.000, 0.000], [0.500, 0.500, 0.500]], "space_group": "Fm-3m", "dos_ef_per_ev_cell": 4.2, "ef_ev_per_atom": 0.412, "volume_a3_per_atom": 17.5, "e_above_lowest_polymorph_ev_per_atom": 0.0497}